[1]
Here is an optimized crystal structure of CuP2 from Alexandria via LeMat-Bulk. Energies are from PBE-GGA.

```
3
Lattice="-2.0085 -4.8319 2.1403 1.7349 -3.2929 4.2554 -1.6838 4.9522 -2.1454" Properties=species:S:1:pos:R:3 pbc="T T T"
P -0.1072 -3.1829 2.5055
P -0.1664 -4.9419 3.8902
Cu 0.0000 0.0000 0.0000
```

E_form (eV/atom): 0.3152
Total magnetic moment (μB per atom): 0.000

***

[2]
Here is an optimized crystal structure of CuP from Alexandria via LeMat-Bulk. Energies are from PBE-GGA.

```
2
Lattice="3.8313 -0.0536 0.0661 1.2452 2.6931 0.1064 -0.0072 -1.5495 2.5931" Properties=species:S:1:pos:R:3 pbc="T T T"
P 2.1004 0.4577 0.2089
Cu 4.0116 -0.3445 1.5366
```

E_form (eV/atom): 0.2049
Total magnetic moment (μB per atom): 0.000

***

[3]
Here is an optimized crystal structure of CuP2 from Alexandria via LeMat-Bulk. Energies are from PBE-GGA.

```
3
Lattice="7.5778 0.0143 0.0000 6.7473 3.4494 0.0000 -7.1626 -1.7319 1.7670" Properties=species:S:1:pos:R:3 pbc="T T T"
Cu 0.0000 0.0000 0.0000
P 5.2403 1.2671 0.0000
P 9.0848 2.1967 0.0000
```

E_form (eV/atom): 0.3504
Total magnetic moment (μB per atom): 0.000

***

[4]
Here is an optimized crystal structure of CuP3 from Alexandria via LeMat-Bulk. Energies are from PBE-GGA.

```
4
Lattice="4.5308 0.0000 0.0000 0.0000 4.5308 0.0000 0.0000 0.0000 4.5308" Properties=species:S:1:pos:R:3 pbc="T T T"
Cu 0.0000 0.0000 0.0000
P 0.0000 2.2654 0.0000
P 2.2654 0.0000 0.0000
P 0.0000 0.0000 2.2654
```

E_form (eV/atom): 1.2038
Total magnetic moment (μB per atom): 0.000

***

What density of states at the Fermi level values result from the calculations? In sequence: 0.26 0.38 0.27 1.07 states/eV/atom.